# Pm2SmY2Ho4

Pm2SmY2Ho4 after structural relaxation (PBE-GGA, Alexandria).

Structure (POSCAR):
```
Pm2SmY2Ho4
1.0
-0.166 -2.771 2.300
2.013 -4.531 -8.140
7.576 3.468 4.726
Pm Ho Y Sm
2 4 2 1
Direct
0.334 0.667 0.998 Pm
0.666 0.333 0.002 Pm
0.519 0.038 0.335 Ho
0.815 0.629 0.663 Ho
0.481 0.962 0.665 Ho
0.185 0.371 0.337 Ho
0.853 0.706 0.337 Y
0.147 0.294 0.663 Y
0.000 0.000 0.000 Sm
```

Summary:
Formation energy   -4 kJ/mol of formula units
Density of states at the Fermi level   1.36 states/eV per atom
Spin magnetization   0.00 μB per cell



# YAlAsBr2

YAlAsBr2 after structural relaxation (PBE-GGA, Alexandria).

Structure (POSCAR):
```
YAlAsBr2
1.0
-2.494 4.893 -0.544
-4.649 -2.140 2.063
1.671 1.436 5.255
Y As Br Al
1 1 2 1
Direct
0.000 0.000 0.000 Y
0.000 0.000 0.500 As
0.500 0.000 0.000 Br
0.000 0.500 0.000 Br
0.500 0.500 0.500 Al
```

Summary:
Excess energy over the best structure of this formula in the dataset   0.0 meV/atom
Raw formation energy   -0.49 eV per atom
Density of states at the Fermi level   0.70 states/eV per atom
Spin magnetization   0.90 μB per cell



# Ga2SiPt8

Ga2SiPt8 after structural relaxation (PBE-GGA, Alexandria).

Structure (POSCAR):
```
Ga2SiPt8
1.0
-0.074 -3.091 -2.552
4.818 -1.791 2.029
-5.787 -1.983 5.718
Ga Pt Si
2 8 1
Direct
0.820 0.275 0.639 Ga
0.180 0.725 0.361 Ga
0.605 0.416 0.211 Pt
0.981 0.245 0.961 Pt
0.217 0.300 0.435 Pt
0.395 0.584 0.789 Pt
0.019 0.755 0.039 Pt
0.783 0.700 0.565 Pt
0.644 0.961 0.288 Pt
0.356 0.039 0.712 Pt
0.500 0.000 0.000 Si
```

Summary:
Raw formation energy   -0.48 eV per atom
Density of states at the Fermi level   0.49 states/eV per atom
Spin magnetization   0.00 μB per cell



# CdAs

CdAs after structural relaxation (PBE-GGA, Alexandria).

Structure (POSCAR):
```
CdAs
1.0
-5.685 -3.774 -3.236
-0.502 -4.456 6.077
-4.946 4.790 3.103
Cd As
6 6
Direct
0.500 0.750 0.000 Cd
0.750 0.000 0.500 Cd
0.500 0.250 0.000 Cd
0.250 0.000 0.500 Cd
0.000 0.500 0.750 Cd
0.000 0.500 0.250 Cd
0.250 0.500 0.000 As
0.000 0.250 0.500 As
0.500 0.000 0.750 As
0.500 0.000 0.250 As
0.000 0.750 0.500 As
0.750 0.500 0.000 As
```

Summary:
Excess energy over the best structure of this formula in the dataset   353.2 meV/atom
Formation energy   52 kJ/mol of formula units
Density of states at the Fermi level   1.47 states/eV per atom
Spin magnetization   0.00 μB per cell



# Tb5Sm2Pd4

Tb5Sm2Pd4 after structural relaxation (PBE-GGA, Alexandria).

Structure (POSCAR):
```
Tb5Sm2Pd4
1.0
3.623 0.000 0.000
0.000 6.788 0.761
-1.812 -0.801 12.395
Sm Tb Pd
2 5 4
Direct
0.908 0.672 0.816 Sm
0.092 0.328 0.184 Sm
0.134 0.818 0.267 Tb
0.866 0.182 0.733 Tb
0.500 0.000 0.000 Tb
0.765 0.751 0.529 Tb
0.235 0.249 0.471 Tb
0.026 0.687 0.052 Pd
0.974 0.313 0.948 Pd
0.328 0.491 0.656 Pd
0.672 0.509 0.344 Pd
```

Summary:
Formation energy   -417 kJ/mol of formula units
Density of states at the Fermi level   1.02 states/eV per atom
Spin magnetization   0.00 μB per cell



# BSbRh3

BSbRh3 after structural relaxation (PBE-GGA, Alexandria).

Structure (POSCAR):
```
BSbRh3
1.0
-1.591 0.972 -4.464
-3.957 -2.656 0.832
-2.284 3.925 1.669
Rh Sb B
3 1 1
Direct
0.500 0.000 0.000 Rh
0.000 0.500 0.000 Rh
0.000 0.000 0.500 Rh
0.000 0.000 0.000 Sb
0.500 0.500 0.500 B
```

Summary:
Excess energy over the best structure of this formula in the dataset   2242.8 meV/atom
Raw formation energy   1.86 eV per atom
Density of states at the Fermi level   2.32 states/eV per atom
Spin magnetization   0.00 μB per cell



# CaYHgPb

CaYHgPb after structural relaxation (PBE-GGA, Alexandria).

Structure (POSCAR):
```
CaYHgPb
1.0
5.406 0.000 0.000
2.703 4.682 0.000
2.703 1.561 4.414
Pb Y Ca Hg
1 1 1 1
Direct
0.500 0.500 0.500 Pb
0.750 0.750 0.750 Y
0.250 0.250 0.250 Ca
0.000 0.000 0.000 Hg
```

Summary:
Excess energy over the best structure of this formula in the dataset   11.0 meV/atom
Formation energy   -196 kJ/mol of formula units
Density of states at the Fermi level   0.83 states/eV per atom
Spin magnetization   0.00 μB per cell



# La2Cu9Ag

La2Cu9Ag after structural relaxation (PBE-GGA, Alexandria).

Structure (POSCAR):
```
La2Cu9Ag
1.0
5.174 0.000 0.000
2.587 4.481 0.000
2.587 1.494 8.396
Ag Cu La
1 9 2
Direct
0.000 0.000 0.000 Ag
0.578 0.079 0.765 Cu
0.422 0.422 0.235 Cu
0.333 0.333 0.002 Cu
0.578 0.578 0.765 Cu
0.500 0.500 0.500 Cu
0.921 0.422 0.235 Cu
0.422 0.921 0.235 Cu
0.079 0.578 0.765 Cu
0.667 0.667 0.998 Cu
0.134 0.134 0.599 La
0.866 0.866 0.401 La
```

Summary:
Formation energy   -28 kJ/mol of formula units
Density of states at the Fermi level   0.47 states/eV per atom
Spin magnetization   0.00 μB per cell



# Ti3Pb

Ti3Pb after structural relaxation (PBE-GGA, Alexandria).

Structure (POSCAR):
```
Ti3Pb
1.0
-0.558 -2.390 1.925
0.683 -3.099 -3.648
4.886 -0.240 1.119
Pb Ti
1 3
Direct
0.000 0.500 0.355 Pb
0.500 0.000 0.482 Ti
0.500 0.500 0.864 Ti
0.000 0.000 0.966 Ti
```

Summary:
Formation energy   25 kJ/mol of formula units
Density of states at the Fermi level   1.19 states/eV per atom
Spin magnetization   0.00 μB per cell



# LaNdScTl

LaNdScTl after structural relaxation (PBE-GGA, Alexandria).

Structure (POSCAR):
```
LaNdScTl
1.0
5.547 0.000 0.000
2.774 4.804 0.000
2.774 1.601 4.529
Nd Sc Tl La
1 1 1 1
Direct
0.500 0.500 0.500 Nd
0.250 0.250 0.250 Sc
0.750 0.750 0.750 Tl
0.000 0.000 0.000 La
```

Summary:
Formation energy   -36 kJ/mol of formula units
Density of states at the Fermi level   1.28 states/eV per atom
Spin magnetization   1.23 μB per cell



# FeReNi

FeReNi after structural relaxation (PBE-GGA, Alexandria).

Structure (POSCAR):
```
FeReNi
1.0
3.905 0.000 0.000
1.953 3.382 0.000
1.953 1.127 3.188
Ni Fe Re
1 1 1
Direct
0.000 0.000 0.000 Ni
0.750 0.750 0.750 Fe
0.500 0.500 0.500 Re
```

Summary:
Excess energy over the best structure of this formula in the dataset   520.6 meV/atom
Formation energy   159 kJ/mol of formula units
Density of states at the Fermi level   1.64 states/eV per atom
Spin magnetization   1.51 μB per cell



# Ga2AgAu6

Ga2AgAu6 after structural relaxation (PBE-GGA, Alexandria).

Structure (POSCAR):
```
Ga2AgAu6
1.0
-2.521 2.986 1.276
-5.526 -0.192 -3.845
-5.522 -3.380 3.621
Au Ga Ag
6 2 1
Direct
0.944 0.221 0.890 Au
0.404 0.825 0.367 Au
0.268 0.343 0.121 Au
0.056 0.779 0.110 Au
0.732 0.657 0.879 Au
0.596 0.175 0.633 Au
0.798 0.109 0.295 Ga
0.202 0.891 0.705 Ga
0.000 0.500 0.500 Ag
```

Summary:
Excess energy over the best structure of this formula in the dataset   35.2 meV/atom
Formation energy   -27 kJ/mol of formula units
Density of states at the Fermi level   0.38 states/eV per atom
Spin magnetization   0.00 μB per cell



Look up the density of states at the Fermi level of the first one. 1.36 states/eV per atom